MnSi2HO6 | Alexandria via LeMat-Bulk | GGA+U | optimized geometry; total magnetic moment = 8.00 Bohr magnetons per cell; symmetry = C2/c; crystal system = monoclinic; final energy = -7.25 eV per atom
1.0
-5.025 0.634 1.932
-2.022 -6.134 0.196
1.080 -0.343 6.362
O Si H Mn
12 4 2 2
Cartesian
-3.997 0.272 2.770 O
-4.004 -4.905 7.636 O
-3.012 -0.381 5.234 O
-2.955 -5.462 3.256 O
-5.098 -1.649 4.145 O
-0.869 -4.194 4.344 O
-2.601 -1.994 3.149 O
-3.884 -2.188 7.369 O
-1.963 -0.938 0.853 O
-2.083 -3.655 1.120 O
-3.366 -3.848 5.340 O
-1.970 -6.115 5.719 O
-3.641 -0.963 3.867 Si
-2.326 -4.879 4.622 Si
-1.661 -2.275 1.842 Si
-4.306 -3.568 6.647 Si
-5.420 -4.967 2.381 H
-0.547 -0.876 6.108 H
-2.913 -5.294 1.405 Mn
-3.054 -0.549 7.085 Mn